# 1
BaV2Ga: optimized geometry, PBE.

Cell and atoms, written as POSCAR:
```
BaV2Ga
1.0
-2.295 2.295 9.585
2.295 -2.295 9.585
2.295 2.295 -9.585
Ba V Ga
2 4 2
direct
0.375 0.625 0.750 Ba
0.625 0.375 0.250 Ba
0.000 0.000 0.000 V
0.000 0.000 0.500 V
0.000 0.500 0.000 V
0.500 0.000 0.500 V
0.125 0.875 0.250 Ga
0.875 0.125 0.750 Ga
```

Output
* formation energy from the elements: 0.684 eV per atom
* space group: I4_1/amd, No. 141
* M_tot: 0.00 μB per formula unit



# 2
BaVGaW2: optimized geometry, PBE.

Cell and atoms, written as POSCAR:
```
BaVGaW2
1.0
4.748 0.000 0.000
0.000 4.748 0.000
0.000 0.000 5.582
Ba V Ga W
1 1 1 2
direct
0.000 0.000 0.000 Ba
0.500 0.500 0.000 V
0.000 0.000 0.500 Ga
0.000 0.500 0.500 W
0.500 0.000 0.500 W
```

Output
* formation energy from the elements: 2.153 eV per atom
* space group: P4/mmm, No. 123
* M_tot: 1.07 μB per formula unit



# 3
BaGa2W2: optimized geometry, PBE.

Cell and atoms, written as POSCAR:
```
BaGa2W2
1.0
8.453 0.000 0.000
0.000 8.453 0.000
0.000 0.000 2.842
Ba Ga W
2 4 4
direct
0.000 0.000 0.000 Ba
0.500 0.500 0.000 Ba
0.175 0.325 0.000 Ga
0.325 0.825 0.000 Ga
0.675 0.175 0.000 Ga
0.825 0.675 0.000 Ga
0.108 0.608 0.500 W
0.392 0.108 0.500 W
0.608 0.892 0.500 W
0.892 0.392 0.500 W
```

Output
* formation energy from the elements: 0.421 eV per atom
* energy relative to the lowest polymorph listed for this composition: 206.8 meV per atom
* space group: P4/mbm, No. 127
* M_tot: 0.00 μB per formula unit



# 4
BaGaW3: optimized geometry, PBE.

Cell and atoms, written as POSCAR:
```
BaGaW3
1.0
4.855 0.000 0.000
0.000 4.855 0.000
0.000 0.000 4.855
Ba Ga W
1 1 3
direct
0.000 0.000 0.000 Ba
0.500 0.500 0.500 Ga
0.000 0.500 0.500 W
0.500 0.000 0.500 W
0.500 0.500 0.000 W
```

Output
* formation energy from the elements: 1.942 eV per atom
* energy relative to the lowest polymorph listed for this composition: 0.0 meV per atom
* space group: Pm-3m, No. 221
* M_tot: 0.00 μB per formula unit



# 5
BaGaW3: optimized geometry, PBE.

Cell and atoms, written as POSCAR:
```
BaGaW3
1.0
5.042 0.000 0.000
0.000 5.042 0.000
0.000 0.000 5.042
Ba Ga W
1 1 3
direct
0.000 0.000 0.000 Ba
0.500 0.500 0.500 Ga
0.000 0.000 0.500 W
0.000 0.500 0.000 W
0.500 0.000 0.000 W
```

Output
* formation energy from the elements: 3.815 eV per atom
* energy relative to the lowest polymorph listed for this composition: 1872.4 meV per atom
* space group: Pm-3m, No. 221
* M_tot: 0.00 μB per formula unit



# 6
BaGaW2: optimized geometry, PBE.

Cell and atoms, written as POSCAR:
```
BaGaW2
1.0
-2.444 2.444 9.498
2.444 -2.444 9.498
2.444 2.444 -9.498
Ba Ga W
2 2 4
direct
0.375 0.625 0.750 Ba
0.625 0.375 0.250 Ba
0.125 0.875 0.250 Ga
0.875 0.125 0.750 Ga
0.000 0.000 0.000 W
0.000 0.000 0.500 W
0.000 0.500 0.000 W
0.500 0.000 0.500 W
```

Output
* formation energy from the elements: 1.078 eV per atom
* space group: I4_1/amd, No. 141
* M_tot: 0.00 μB per formula unit



# 7
BaGa2W2: optimized geometry, PBE.

Cell and atoms, written as POSCAR:
```
BaGa2W2
1.0
-1.983 1.983 6.848
1.983 -1.983 6.848
1.983 1.983 -6.848
Ba Ga W
1 2 2
direct
0.000 0.000 0.000 Ba
0.383 0.383 0.000 Ga
0.617 0.617 0.000 Ga
0.250 0.750 0.500 W
0.750 0.250 0.500 W
```

Output
* formation energy from the elements: 0.214 eV per atom
* energy relative to the lowest polymorph listed for this composition: 0.0 meV per atom
* space group: I4/mmm, No. 139
* M_tot: 0.00 μB per formula unit



# 8
BaYGa2W: optimized geometry, PBE.

Cell and atoms, written as POSCAR:
```
BaYGa2W
1.0
5.075 0.000 0.000
0.000 5.075 0.000
0.000 0.000 5.469
Ba Y Ga W
1 1 2 1
direct
0.000 0.000 0.000 Ba
0.500 0.500 0.000 Y
0.000 0.500 0.500 Ga
0.500 0.000 0.500 Ga
0.000 0.000 0.500 W
```

Output
* formation energy from the elements: 0.668 eV per atom
* space group: P4/mmm, No. 123
* M_tot: 0.00 μB per formula unit



# 9
BaY2Ga2: optimized geometry, PBE.

Cell and atoms, written as POSCAR:
```
BaY2Ga2
1.0
9.009 0.000 0.000
0.000 9.009 0.000
0.000 0.000 3.411
Ba Y Ga
2 4 4
direct
0.000 0.000 0.000 Ba
0.500 0.500 0.000 Ba
0.129 0.371 0.000 Y
0.371 0.871 0.000 Y
0.629 0.129 0.000 Y
0.871 0.629 0.000 Y
0.170 0.670 0.500 Ga
0.330 0.170 0.500 Ga
0.670 0.830 0.500 Ga
0.830 0.330 0.500 Ga
```

Output
* formation energy from the elements: -0.337 eV per atom
* energy relative to the lowest polymorph listed for this composition: 0.0 meV per atom
* space group: P4/mbm, No. 127
* M_tot: 0.00 μB per formula unit



# 10
Ba3YGa: optimized geometry, PBE.

Cell and atoms, written as POSCAR:
```
Ba3YGa
1.0
6.429 0.000 0.000
0.000 6.429 0.000
0.000 0.000 6.429
Ba Y Ga
3 1 1
direct
0.000 0.000 0.500 Ba
0.000 0.500 0.000 Ba
0.500 0.000 0.000 Ba
0.500 0.500 0.500 Y
0.000 0.000 0.000 Ga
```

Output
* formation energy from the elements: 0.283 eV per atom
* energy relative to the lowest polymorph listed for this composition: 0.0 meV per atom
* space group: Pm-3m, No. 221
* M_tot: 1.91 μB per formula unit



# 11
BaYGa2: optimized geometry, PBE.

Cell and atoms, written as POSCAR:
```
BaYGa2
1.0
-4.240 4.240 3.637
4.240 -4.240 3.637
4.240 4.240 -3.637
Ba Y Ga
2 2 4
direct
0.000 0.000 0.000 Ba
0.750 0.250 0.500 Ba
0.250 0.750 0.500 Y
0.500 0.500 0.000 Y
0.167 0.125 0.542 Ga
0.375 0.833 0.958 Ga
0.583 0.625 0.458 Ga
0.875 0.417 0.042 Ga
```

Output
* formation energy from the elements: -0.006 eV per atom
* energy relative to the lowest polymorph listed for this composition: 453.6 meV per atom
* space group: I-42d, No. 122
* M_tot: 0.00 μB per formula unit



# 12
Ba2YGa2: optimized geometry, PBE.

Cell and atoms, written as POSCAR:
```
Ba2YGa2
1.0
7.943 0.000 0.000
0.000 7.943 0.000
0.000 0.000 5.433
Ba Y Ga
4 2 4
direct
0.177 0.323 0.000 Ba
0.323 0.823 0.000 Ba
0.677 0.177 0.000 Ba
0.823 0.677 0.000 Ba
0.000 0.000 0.500 Y
0.500 0.500 0.500 Y
0.117 0.617 0.500 Ga
0.383 0.117 0.500 Ga
0.617 0.883 0.500 Ga
0.883 0.383 0.500 Ga
```

Output
* formation energy from the elements: -0.201 eV per atom
* space group: P4/mbm, No. 127
* M_tot: 0.00 μB per formula unit